The following is a GGA-PBE calculation of Ca2HoPd4 after structural relaxation, from Alexandria.

Values from the calculation:
DFT formation energy ... -4.11 eV per formula unit
Total magnetization ... 0.00 μB per cell

a = 7.525 Å, b = 7.549 Å, c = 11.036 Å
α = 90.00°, β = 90.00°, γ = 90.00°
Space group Fmmm (No. 69)
Unique sites:
Ca: 0.000 0.000 0.185 [8 per cell]
Ho: 0.000 0.000 0.500 [4 per cell]
Pd: 0.250 0.250 0.124 [16 per cell]